K2LiHg: optimized geometry, PBE-GGA.

Calculated values
* energy of formation from the pure elements: 1.1 kcal/mol of atoms

Unit cell a=4.2476 b=4.2476 c=33.5382 alpha=90.00 beta=90.00 gamma=120.00
Last column: nearest neighbours and their distance in Å.
Space group R-3m (No. 166, hexagonal axes)
Inequivalent atoms, fractional coordinates:
K  0.0000  0.0000  0.2449  3 Hg 3.59, 3 Li 3.85
Li  0.0000  0.0000  0.0000  6 K 3.85, 6 Li 4.25
Hg  0.0000  0.0000  0.5000  6 K 3.59

KLiHg3: optimized geometry, PBE-GGA.

Calculated values
* energy of formation from the pure elements: -4.6 kcal/mol of atoms
* offset from the most stable computed form: 22 kJ/mol of formula units

Unit cell a=5.2728 b=5.2728 c=5.2728 alpha=90.00 beta=90.00 gamma=90.00
Last column: nearest neighbours and their distance in Å.
Space group Pm-3m (No. 221)
Inequivalent atoms, fractional coordinates:
K  0.0000  0.0000  0.0000  12 Hg 3.73
Li  0.5000  0.5000  0.5000  6 Hg 2.64
Hg  0.0000  0.5000  0.5000  2 Li 2.64

K3LiHg12: optimized geometry, PBE-GGA.

Calculated values
* energy of formation from the pure elements: -4.3 kcal/mol of atoms

Unit cell a=4.9252 b=4.9252 c=19.2658 alpha=90.00 beta=90.00 gamma=90.00
Last column: nearest neighbours and their distance in Å.
Space group P4/mmm (No. 123)
Inequivalent atoms, fractional coordinates:
K  0.0000  0.0000  0.0000  12 Hg 3.48-3.54
K  0.0000  0.0000  0.2641  12 Hg 3.48-3.54
Li  0.0000  0.0000  0.5000  12 Hg 3.18-3.48
Hg  0.0000  0.5000  0.1319  8 Hg 3.48-3.59, 4 K 3.54
Hg  0.0000  0.5000  0.3952  8 Hg 3.18-3.48, 2 Li 3.18, 2 K 3.53
Hg  0.5000  0.5000  0.0000  4 K 3.48, 8 Hg 3.54
Hg  0.5000  0.5000  0.2673  4 K 3.48, 8 Hg 3.48-3.59
Hg  0.5000  0.5000  0.5000  8 Hg 3.18, 4 Li 3.48

KLi2Hg4: optimized geometry, PBE-GGA.

Calculated values
* energy of formation from the pure elements: -5.9 kcal/mol of atoms

Unit cell a=3.3474 b=5.0451 c=20.5548 alpha=90.00 beta=90.00 gamma=90.00
Last column: nearest neighbours and their distance in Å.
Space group Immm (No. 71)
Inequivalent atoms, fractional coordinates:
K  0.0000  0.0000  0.0000  2 K 3.35, 8 Hg 3.46
Li  0.0000  0.5000  0.1964  3 Hg 2.75-2.90
Hg  0.0000  0.0000  0.4190  2 Li 2.90, 2 Hg 3.12
Hg  0.0000  0.5000  0.3299  1 Li 2.75

K2Li2Hg: optimized geometry, PBE-GGA.

Calculated values
* energy of formation from the pure elements: -0.6 kcal/mol of atoms
* offset from the most stable computed form: 0 kJ/mol of formula units

Unit cell a=7.5614 b=7.5614 c=6.0410 alpha=90.00 beta=90.00 gamma=90.00
Last column: nearest neighbours and their distance in Å.
Space group P4/mbm (No. 127)
Inequivalent atoms, fractional coordinates:
K  0.1880  0.3120  0.0000  2 Li 3.49, 4 K 3.90
Li  0.1481  0.6481  0.5000  2 Hg 2.89, 1 Li 3.17
Hg  0.0000  0.0000  0.5000  4 Li 2.89

K2LiMgHg6: optimized geometry, PBE-GGA.

Calculated values
* energy of formation from the pure elements: -3.7 kcal/mol of atoms

Unit cell a=10.8053 b=10.8002 c=7.5963 alpha=90.00 beta=134.58 gamma=90.00
Last column: nearest neighbours and their distance in Å.
Space group C2/m (No. 12)
Inequivalent atoms, fractional coordinates:
K  0.0000  0.2501  0.0000  12 Hg 3.80-3.85
Li  0.0000  0.0000  0.5000  6 Hg 2.59-2.60
Mg  0.0000  0.5000  0.5000  6 Hg 2.80-2.81
Hg  0.0000  0.2404  0.5000  1 Li 2.60, 1 Mg 2.80
Hg  0.2400  0.0000  0.5001  1 Li 2.59, 1 Mg 2.81
Hg  0.2408  0.0000  0.9806  1 Li 2.60, 1 Mg 2.81

KLi2MgHg: optimized geometry, PBE-GGA.

Calculated values
* energy of formation from the pure elements: -0.7 kcal/mol of atoms

Unit cell a=5.3784 b=5.3784 c=5.3453 alpha=90.00 beta=90.00 gamma=90.00
Last column: nearest neighbours and their distance in Å.
Space group P4/mmm (No. 123)
Inequivalent atoms, fractional coordinates:
K  0.0000  0.0000  0.0000  8 Li 3.79, 4 Mg 3.80
Li  0.0000  0.5000  0.5000  2 Hg 2.69
Mg  0.5000  0.5000  0.0000  2 Hg 2.67
Hg  0.5000  0.5000  0.5000  2 Mg 2.67, 4 Li 2.69

KLi2MgHg4: optimized geometry, PBE-GGA.

Calculated values
* energy of formation from the pure elements: -6.0 kcal/mol of atoms

Unit cell a=4.7823 b=4.7823 c=31.0958 alpha=90.00 beta=90.00 gamma=120.00
Last column: nearest neighbours and their distance in Å.
Space group R-3m (No. 166, hexagonal axes)
Inequivalent atoms, fractional coordinates:
K  0.0000  0.0000  0.0000  6 Hg 3.54
Li  0.0000  0.0000  0.2283  7 Hg 2.90-2.95
Mg  0.0000  0.0000  0.5000  8 Hg 2.95-2.96
Hg  0.0000  0.0000  0.1333  4 Li 2.90-2.95, 3 Mg 2.95
Hg  0.0000  0.0000  0.4048  3 Li 2.95, 1 Mg 2.96

KNaLi2Hg: optimized geometry, PBE-GGA.

Calculated values
* energy of formation from the pure elements: -1.0 kcal/mol of atoms

Unit cell a=5.3870 b=5.3870 c=5.8870 alpha=90.00 beta=90.00 gamma=90.00
Last column: nearest neighbours and their distance in Å.
Space group P4/mmm (No. 123)
Inequivalent atoms, fractional coordinates:
K  0.0000  0.0000  0.0000  4 Na 3.81, 8 Li 3.99
Na  0.5000  0.5000  0.0000  2 Hg 2.94
Li  0.0000  0.5000  0.5000  2 Hg 2.69
Hg  0.5000  0.5000  0.5000  4 Li 2.69, 2 Na 2.94

K2NaLiHg2: optimized geometry, PBE-GGA.

Calculated values
* energy of formation from the pure elements: -4.3 kcal/mol of atoms

Unit cell a=6.9475 b=17.3319 c=6.8830 alpha=90.00 beta=90.00 gamma=90.00
Last column: nearest neighbours and their distance in Å.
Space group Ibam (No. 72)
Inequivalent atoms, fractional coordinates:
K  0.2328  0.1769  0.0000  5 Hg 3.55-3.83, 2 Na 3.87
Na  0.0000  0.0000  0.2500  4 Hg 3.21, 2 Na 3.44, 2 Li 3.47
Li  0.0000  0.5000  0.2500  4 Hg 2.91
Hg  0.2115  0.3947  0.0000  2 Li 2.91, 2 Na 3.21

K2NaLiHg: optimized geometry, PBE-GGA.

Calculated values
* energy of formation from the pure elements: 0.2 kcal/mol of atoms
* offset from the most stable computed form: 0 kJ/mol of formula units

Unit cell a=6.6996 b=6.6996 c=5.3043 alpha=90.00 beta=90.00 gamma=90.00
Last column: nearest neighbours and their distance in Å.
Space group P4/mmm (No. 123)
Inequivalent atoms, fractional coordinates:
K  0.0000  0.5000  0.0000  2 Hg 3.35
Na  0.0000  0.0000  0.5000  8 K 4.27, 4 Li 4.74
Li  0.5000  0.5000  0.5000  2 Hg 2.65
Hg  0.5000  0.5000  0.0000  2 Li 2.65

KNa2LiHg4: optimized geometry, PBE-GGA.

Calculated values
* energy of formation from the pure elements: -5.3 kcal/mol of atoms

Unit cell a=5.2457 b=5.2457 c=27.6353 alpha=90.00 beta=90.00 gamma=120.00
Last column: nearest neighbours and their distance in Å.
Space group R-3m (No. 166, hexagonal axes)
Inequivalent atoms, fractional coordinates:
K  0.0000  0.0000  0.0000  8 Hg 3.52-3.63, 6 Na 3.93
Na  0.0000  0.0000  0.2428  7 Hg 3.08-3.23
Li  0.0000  0.0000  0.5000  2 Hg 2.81
Hg  0.0000  0.0000  0.1315  4 Na 3.08-3.23, 3 Li 3.18
Hg  0.0000  0.0000  0.3983  1 Li 2.81, 3 Na 3.11